Entry 1:
The following is a PBE calculation of a geometry-optimized LiTiCu structure, from Alexandria via LeMat-Bulk.

Values from the calculation:
Energy above the lowest structure with this stoichiometry: 0 kJ/mol of formula units
Density: 4.2 g/cm3
Crystal system: tetragonal
Fermi-level density of states: 4.2 states/eV per cell
Electronic total energy: -4.68 eV per atom

a b c (Å): 2.883 2.883 11.184
angles (deg): 90.00 90.00 90.00
Space group P4/nmm (No. 129, origin choice 2)
Unique sites:
Li 0.250 0.250 0.103
Ti 0.250 0.250 0.414
Cu 0.250 0.250 0.743


Entry 2:
The following is a PBE calculation of a geometry-optimized LiTi2Cu2 structure, from Alexandria via LeMat-Bulk.

Values from the calculation:
Energy above the lowest structure with this stoichiometry: 17 kJ/mol of formula units
Density: 5.0 g/cm3
Crystal system: tetragonal
Fermi-level density of states: 6.7 states/eV per cell
Electronic total energy: -5.08 eV per atom

a b c (Å): 7.648 7.648 2.618
angles (deg): 90.00 90.00 90.00
Space group P4/mbm (No. 127)
Unique sites:
Li 0.000 0.000 0.000
Ti 0.162 0.338 0.000
Cu 0.132 0.632 0.500


Entry 3:
The following is a PBE calculation of a geometry-optimized Li2TiCu structure, from Alexandria via LeMat-Bulk.

Values from the calculation:
Energy above the lowest structure with this stoichiometry: 109 kJ/mol of formula units
Density: 3.2 g/cm3
Crystal system: tetragonal
Fermi-level density of states: 13.3 states/eV per cell
Electronic total energy: -3.49 eV per atom

a b c (Å): 7.102 7.102 5.156
angles (deg): 90.00 90.00 90.00
Space group I-42d (No. 122)
Unique sites:
Li 0.211 0.250 0.125
Ti 0.000 0.000 0.500
Cu 0.000 0.000 0.000